An optimized crystal structure of LaAuIN2. Source: Alexandria, functional PBEsol.

Spin magnetization: 0.00 μB/f.u.
SG: No. 123
Energy relative to the elements, uncorrected: 0.738 eV per atom
Crystal system: tetragonal
Mass density: 6.904 g/cm3

The structure in extended XYZ format:
```
5
Lattice="4.155 0.000 0.000 0.000 4.155 0.000 0.000 0.000 6.837" Properties=species:S:1:pos:R:3 pbc="T T T"
La 0.000 0.000 0.000
Au 2.078 2.078 3.419
I 0.000 0.000 3.419
N 0.000 2.078 0.000
N 2.078 0.000 0.000
```